Record 1
{"formula": "Dy2HoAg4Sn4", "functional": "PBE-GGA", "state": "optimized geometry", "dft_energy_ev_per_atom": -4.22, "mass_density_g_cm3": 9.09, "lattice_angstrom": [[6.087, -5.483, -3.105], [5.853, -3.737, 5.343], [-8.326, 1.240, -2.428]], "species": ["Ag", "Ag", "Ag", "Ag", "Dy", "Dy", "Sn", "Sn", "Sn", "Sn", "Ho"], "fractional_positions": [[0.371, 0.672, 0.699], [0.028, 0.328, 0.699], [0.972, 0.672, 0.301], [0.629, 0.328, 0.301], [0.627, 0.127, 0.500], [0.373, 0.873, 0.500], [0.786, 0.786, 0.000], [0.302, 0.500, 0.802], [0.214, 0.214, 0.000], [0.698, 0.500, 0.198], [0.000, 0.000, 0.000]]}

---

Record 2
{"formula": "CsPrPO", "functional": "PBE-GGA", "state": "optimized geometry", "mass_density_g_cm3": 5.26, "de_polymorph_kj_per_mol_atoms": 43.14, "lattice_angstrom": [[4.326, -4.326, 0.000], [4.326, 4.326, 0.000], [0.000, 0.000, 5.410]], "species": ["O", "O", "P", "P", "Cs", "Cs", "Pr", "Pr"], "fractional_positions": [[0.750, 0.250, 0.000], [0.250, 0.750, 0.000], [0.750, 0.750, 0.499], [0.250, 0.250, 0.501], [0.250, 0.250, 0.000], [0.750, 0.750, 0.000], [0.750, 0.250, 0.500], [0.250, 0.750, 0.500]]}

---

Record 3
{"formula": "BaTaOs", "functional": "PBE-GGA", "state": "optimized geometry", "mass_density_g_cm3": 11.79, "de_polymorph_kj_per_mol_atoms": 128.72, "lattice_angstrom": [[0.000, 3.296, 3.296], [3.296, 0.000, 3.296], [3.296, 3.296, 0.000]], "species": ["Ba", "Ta", "Os"], "fractional_positions": [[0.000, 0.000, 0.000], [0.750, 0.750, 0.750], [0.250, 0.250, 0.250]]}